Record 1
LiBe2Cu at its PBEsol-relaxed geometry, computed with SCAN.

extended XYZ file:
```
8
Lattice="-2.0144 2.0144 7.5384 2.0144 -2.0144 7.5384 2.0144 2.0144 -7.5384" Properties=species:S:1:pos:R:3 pbc="T T T"
Li 2.0144 1.0072 1.8846
Li 0.0000 1.0072 5.6538
Be 0.0000 0.0000 0.0000
Be 1.0072 1.0072 -3.7692
Be 1.0072 -1.0072 3.7692
Be 0.0000 2.0144 0.0000
Cu 2.0144 -1.0072 5.6538
Cu 0.0000 3.0215 1.8846
```

Computed properties:
- Energy above the lowest structure with this stoichiometry: 190 kJ/mol of formula units
- Space-group type: I4_1/amd
- Energy relative to the elements: 0.5145 eV/atom

---

Record 2
LiBeCu2 at its PBEsol-relaxed geometry, computed with SCAN.

extended XYZ file:
```
4
Lattice="2.5531 0.0000 0.0000 0.0000 2.5531 0.0000 0.0000 0.0000 6.7120" Properties=species:S:1:pos:R:3 pbc="T T T"
Li 0.0000 0.0000 0.0000
Be 0.0000 0.0000 3.3560
Cu 1.2766 1.2766 1.9591
Cu 1.2766 1.2766 4.7529
```

Computed properties:
- Space-group type: P4/mmm
- Energy relative to the elements: -0.1103 eV/atom

---

Record 3
LiBe2Cu at its PBEsol-relaxed geometry, computed with SCAN.

extended XYZ file:
```
4
Lattice="4.3320 -1.2993 0.0000 4.3320 1.2993 0.0000 -1.7352 0.0000 3.4690" Properties=species:S:1:pos:R:3 pbc="T T T"
Li 0.0000 0.0000 0.0000
Be 0.7388 0.0000 2.5492
Be 3.5257 0.0000 1.7618
Cu 6.2049 0.0000 0.9459
```

Computed properties:
- Energy above the lowest structure with this stoichiometry: 0 kJ/mol of formula units
- Space-group type: Cm
- Energy relative to the elements: 0.0232 eV/atom

---

Record 4
LiBeCu2 at its PBEsol-relaxed geometry, computed with SCAN.

extended XYZ file:
```
4
Lattice="-1.3405 1.9438 4.0336 1.3405 -1.9438 4.0336 1.3405 1.9438 -4.0336" Properties=species:S:1:pos:R:3 pbc="T T T"
Li 0.0000 0.0000 0.0000
Be 1.3405 0.0000 2.0568
Cu 0.0000 0.0000 3.8347
Cu 0.0000 1.9438 1.8977
```

Computed properties:
- Space-group type: Imm2
- Energy relative to the elements: -0.0380 eV/atom

---

Record 5
MgBe2Cu2 at its PBEsol-relaxed geometry, computed with SCAN.

extended XYZ file:
```
10
Lattice="6.4805 0.0000 0.0000 0.0000 6.4805 0.0000 0.0000 0.0000 2.6444" Properties=species:S:1:pos:R:3 pbc="T T T"
Mg 0.0000 0.0000 0.0000
Mg 3.2403 3.2403 0.0000
Be 0.7966 2.4436 0.0000
Be 2.4436 5.6839 0.0000
Be 4.0369 0.7966 0.0000
Be 5.6839 4.0369 0.0000
Cu 1.0845 4.3247 1.3222
Cu 2.1558 1.0845 1.3222
Cu 4.3247 5.3960 1.3222
Cu 5.3960 2.1558 1.3222
```

Computed properties:
- Space-group type: P4/mbm
- Energy relative to the elements: -0.1262 eV/atom

---

Record 6
Mg3BeCu at its PBEsol-relaxed geometry, computed with SCAN.

extended XYZ file:
```
5
Lattice="4.7580 0.0000 0.0000 0.0000 4.7580 0.0000 0.0000 0.0000 4.7580" Properties=species:S:1:pos:R:3 pbc="T T T"
Mg 0.0000 0.0000 2.3790
Mg 0.0000 2.3790 0.0000
Mg 2.3790 0.0000 0.0000
Be 2.3790 2.3790 2.3790
Cu 0.0000 0.0000 0.0000
```

Computed properties:
- Space-group type: Pm-3m
- Energy relative to the elements: 0.5546 eV/atom

---

| no. | raw total energy (eV per atom) | ρ (g/cm³) |
| --- | --- | --- |
| 1 | -6.0596 | 2.40 |
| 2 | -9.3958 | 5.43 |
| 3 | -6.5509 | 3.76 |
| 4 | -9.3235 | 5.65 |
| 5 | -8.9421 | 5.07 |
| 6 | -6.3402 | 2.24 |